Record 1
CeYTl after structural relaxation. Source: Alexandria, functional GGA-PBE.

Cell lengths 5.4081, 5.4081, 3.2718 Å; angles 90.00, 90.00, 120.00 degrees
Space group P3m1 (No. 156)
Symmetry-distinct sites (fractional):
Ce  0.0000  0.0000  0.0000 [1 per cell]
Y  0.3333  0.6667  0.9948 [1 per cell]
Tl  0.6667  0.3333  0.4986 [1 per cell]

Calculated values
ΔE to the lowest computed polymorph ... 286 meV/atom

Record 2
Ca2InPt after structural relaxation. Source: Alexandria, functional GGA-PBE.

Cell lengths 4.556, 4.215, 11.230 Å; angles 90.00, 90.00, 90.00 degrees
Space group Amm2 (No. 38)
Symmetry-distinct sites (fractional):
Ca  0.000  0.000  0.000 [2 per cell]
Ca  0.500  0.000  0.293 [2 per cell]
In  0.500  0.000  0.583 [2 per cell]
Pt  0.000  0.000  0.719 [2 per cell]

Number 1: energy of formation from the pure elements 0.05 eV per atom, raw total energy -4.869 eV/atom. Number 2: energy of formation from the pure elements -0.64 eV per atom, raw total energy -3.839 eV/atom.